The following is a PBE calculation of crystalline Na2CeTlO4 at its relaxed geometry, from Alexandria.

Output
Space group   P2/m, No. 10
Magnetic moment   0.000 μB/cell
ΔE_f (raw)   -1.91 eV per atom
Total DFT energy (no corrections)   -46.07 eV for the cell shown

Cell: 3.564 6.157 6.021 Å, 110.57 90.00 90.00°
Atoms (fractional coordinates):
Na (0.500, 0.000, 0.500)
Na (0.000, 0.500, 0.500)
Ce (0.500, 0.500, 0.000)
Tl (0.000, 0.000, 0.000)
O (0.500, 0.271, 0.222)
O (0.500, 0.729, 0.778)
O (0.000, 0.293, 0.778)
O (0.000, 0.707, 0.222)